No. 1
Here is crystalline CaHgBr4 at its relaxed geometry from Alexandria via LeMat-Bulk. Energies are from GGA-PBE.

N(E_F), states/eV/cell: 0.00
E_form (uncorrected), eV/atom: -1.214
VASP energy, eV/atom: -2.713
Symmetry: P2_1/c, No. 14
E above lowest polymorph, kJ per mole of atoms: 0.0

Cell and atoms, written as extended XYZ:
```
12
Lattice="4.210 0.000 0.000 0.000 7.247 0.161 0.000 0.422 13.850" Properties=species:S:1:pos:R:3 pbc="T T T"
Ca 2.105 3.623 0.080
Ca 0.000 0.211 6.925
Br 4.038 5.009 5.433
Br 2.278 1.597 12.278
Br 2.112 1.440 5.340
Br 0.172 2.660 8.577
Br 4.203 5.274 12.346
Br 0.007 2.395 1.665
Br 1.933 6.072 1.733
Br 2.098 6.230 8.670
Hg 0.000 0.000 0.000
Hg 2.105 3.835 7.005
```

***

No. 2
Here is crystalline Tl9BiTe6 at its relaxed geometry from Alexandria via LeMat-Bulk. Energies are from GGA-PBE.

E_form (uncorrected), eV/atom: -0.306
VASP energy, eV/atom: -3.058
Symmetry: I4/m, No. 87

Cell and atoms, written as extended XYZ:
```
16
Lattice="9.274 0.008 0.000 0.567 9.256 0.000 -4.920 -4.632 6.351" Properties=species:S:1:pos:R:3 pbc="T T T"
Te 7.256 6.832 0.000
Te 2.584 2.433 0.000
Te 5.678 3.827 3.032
Te 2.842 6.840 1.106
Te -0.758 0.805 3.319
Te 2.078 -2.207 5.245
Bi 4.920 4.632 0.000
Tl -0.628 3.767 5.041
Tl 0.000 0.000 0.000
Tl -0.632 3.771 1.310
Tl 5.552 0.862 5.041
Tl -0.083 6.846 3.178
Tl 5.548 0.866 1.310
Tl 2.445 0.503 3.178
Tl 5.003 -2.214 3.173
Tl 2.475 4.129 3.173
```

***

No. 3
Here is crystalline Hf2SnMo at its relaxed geometry from Alexandria via LeMat-Bulk. Energies are from GGA-PBE.

N(E_F), states/eV/cell: 2.00
Formation energy from the elements, kJ/mol of formula units: -21
VASP energy, eV/atom: -8.741
Symmetry: R-3m, No. 166

Cell and atoms, written as extended XYZ:
```
4
Lattice="3.279 0.000 0.000 1.640 2.840 0.000 1.640 0.947 9.067" Properties=species:S:1:pos:R:3 pbc="T T T"
Hf 4.919 2.840 7.048
Hf 1.640 0.947 2.019
Sn 3.279 1.893 4.533
Mo 0.000 0.000 0.000
```

***

No. 4
Here is crystalline Ta2CdCuSe at its relaxed geometry from Alexandria via LeMat-Bulk. Energies are from GGA-PBE.

N(E_F), states/eV/cell: 4.24
E_form (uncorrected), eV/atom: 1.204
VASP energy, eV/atom: -5.236
Symmetry: P4/mmm, No. 123

Cell and atoms, written as extended XYZ:
```
5
Lattice="-2.208 2.118 -3.589 -3.905 1.082 3.040 2.037 4.092 1.161" Properties=species:S:1:pos:R:3 pbc="T T T"
Cu -2.038 3.646 0.306
Se 0.000 0.000 0.000
Cd -1.953 0.541 1.520
Ta -1.104 1.059 -1.795
Ta 1.019 2.046 0.580
```

***

No. 5
Here is crystalline NaHfAl at its relaxed geometry from Alexandria via LeMat-Bulk. Energies are from GGA-PBE.

N(E_F), states/eV/cell: 2.89
Formation energy from the elements, kJ/mol of formula units: 184
VASP energy, eV/atom: -4.371
Symmetry: P4/nmm, No. 129
E above lowest polymorph, kJ per mole of atoms: 63.3

Cell and atoms, written as extended XYZ:
```
6
Lattice="4.369 0.000 0.000 0.000 4.369 0.000 0.000 0.000 7.522" Properties=species:S:1:pos:R:3 pbc="T T T"
Al 2.184 2.184 3.761
Al 0.000 0.000 3.761
Hf 0.000 2.184 5.569
Hf 2.184 0.000 1.953
Na 2.184 0.000 6.204
Na 0.000 2.184 1.318
```

***

No. 6
Here is crystalline TbNdErTm at its relaxed geometry from Alexandria via LeMat-Bulk. Energies are from GGA-PBE.

N(E_F), states/eV/cell: 7.09
Formation energy from the elements, kJ/mol of formula units: 44
VASP energy, eV/atom: -4.493
Symmetry: F-43m, No. 216
E above lowest polymorph, kJ per mole of atoms: 8.9

Cell and atoms, written as extended XYZ:
```
4
Lattice="5.673 0.000 0.000 2.836 4.913 0.000 2.836 1.638 4.632" Properties=species:S:1:pos:R:3 pbc="T T T"
Tm 5.673 3.275 2.316
Tb 8.509 4.913 3.474
Nd 2.836 1.638 1.158
Er 0.000 0.000 0.000
```

***

No. 7
Here is crystalline Nd3Tl4Ag4 at its relaxed geometry from Alexandria via LeMat-Bulk. Energies are from GGA-PBE.

N(E_F), states/eV/cell: 5.48
Formation energy from the elements, kJ/mol of formula units: -228
VASP energy, eV/atom: -3.413
Symmetry: P-1, No. 2

Cell and atoms, written as extended XYZ:
```
11
Lattice="3.560 0.000 0.001 0.000 5.042 0.004 1.766 2.508 15.576" Properties=species:S:1:pos:R:3 pbc="T T T"
Ag 3.551 5.031 14.179
Ag 3.550 2.514 9.850
Ag 1.776 2.519 1.402
Ag 1.777 5.036 5.731
Nd 0.000 0.000 0.000
Nd 3.556 2.514 4.285
Nd 1.771 5.036 11.296
Tl 1.774 2.514 7.232
Tl 3.553 5.035 8.349
Tl 1.778 5.039 2.875
Tl 3.549 2.511 12.706
```

***

no.,magnetization (μB per cell)
1,0.00
2,0.00
3,0.00
4,0.00
5,0.00
6,0.00
7,0.00